# NpTlNiS3 | Alexandria | PBE | optimized geometry
data_NpTlNiS3
_chemical_formula_sum 'Np2 Tl2 Ni2 S6'
_cell_length_a 8.8377
_cell_length_b 3.8983
_cell_length_c 9.0120
_cell_angle_alpha 90.00
_cell_angle_beta 109.00
_cell_angle_gamma 90.00
_space_group_name_H-M_alt 'P 1 21/m 1'
_space_group_IT_number 11
_space_group_name_Hall '-P 2yb'
loop_
_atom_site_label
_atom_site_type_symbol
_atom_site_fract_x
_atom_site_fract_y
_atom_site_fract_z
Np1 Np 0.1801 0.2500 0.1621
Tl1 Tl 0.3028 0.7500 0.7652
Ni1 Ni 0.4173 0.7500 0.4132
S1 S 0.0361 0.2500 0.8444
S2 S 0.3142 0.2500 0.4678
S3 S 0.3777 0.7500 0.1465
# Total magnetization, μB per cell: 5.017
# ΔE_f (raw), eV/atom: -0.87
# Final energy, eV per atom: -6.4439